Compound: Al5Au3O12
Source: Alexandria
Functional: PBE
Structure: relaxed

Results
Space-group type: No. 230
Uncorrected formation energy in eV/atom: -1.611
V in Å³ per atom: 11.4

a = 10.5811 Å, b = 10.5811 Å, c = 10.5811 Å
α = 109.47°, β = 109.47°, γ = 109.47°
Element x y z (fractional)
Al: 0.0000 0.0000 0.0000
Al: 0.0000 0.0000 0.5000
Al: 0.0000 0.5000 0.0000
Al: 0.0000 0.5000 0.5000
Al: 0.1250 0.7500 0.8750
Al: 0.1250 0.8750 0.2500
Al: 0.2500 0.1250 0.8750
Al: 0.2500 0.6250 0.3750
Al: 0.3750 0.2500 0.6250
Al: 0.3750 0.6250 0.7500
Al: 0.5000 0.0000 0.0000
Al: 0.5000 0.0000 0.5000
Al: 0.5000 0.5000 0.0000
Al: 0.5000 0.5000 0.5000
Al: 0.6250 0.3750 0.2500
Al: 0.6250 0.7500 0.3750
Al: 0.7500 0.3750 0.6250
Al: 0.7500 0.8750 0.1250
Al: 0.8750 0.1250 0.7500
Al: 0.8750 0.2500 0.1250
Au: 0.1250 0.2500 0.3750
Au: 0.1250 0.3750 0.7500
Au: 0.2500 0.3750 0.1250
Au: 0.2500 0.8750 0.6250
Au: 0.3750 0.1250 0.2500
Au: 0.3750 0.7500 0.1250
Au: 0.6250 0.2500 0.8750
Au: 0.6250 0.8750 0.7500
Au: 0.7500 0.1250 0.3750
Au: 0.7500 0.6250 0.8750
Au: 0.8750 0.6250 0.2500
Au: 0.8750 0.7500 0.6250
O: 0.0090 0.1830 0.1280
O: 0.0090 0.3261 0.8810
O: 0.0549 0.6830 0.6739
O: 0.0549 0.8720 0.3810
O: 0.1190 0.6280 0.4451
O: 0.1190 0.9910 0.6739
O: 0.1280 0.0090 0.1830
O: 0.1280 0.6190 0.9451
O: 0.1739 0.1830 0.5549
O: 0.1739 0.4910 0.6190
O: 0.1830 0.1280 0.0090
O: 0.1830 0.5549 0.1739
O: 0.3170 0.3261 0.9451
O: 0.3170 0.4910 0.3720
O: 0.3261 0.8810 0.0090
O: 0.3261 0.9451 0.3170
O: 0.3720 0.3170 0.4910
O: 0.3720 0.5549 0.8810
O: 0.3810 0.0549 0.8720
O: 0.3810 0.8261 0.5090
O: 0.4451 0.1190 0.6280
O: 0.4451 0.8261 0.8170
O: 0.4910 0.3720 0.3170
O: 0.4910 0.6190 0.1739
O: 0.5090 0.3810 0.8261
O: 0.5090 0.6280 0.6830
O: 0.5549 0.1739 0.1830
O: 0.5549 0.8810 0.3720
O: 0.6190 0.1739 0.4910
O: 0.6190 0.9451 0.1280
O: 0.6280 0.4451 0.1190
O: 0.6280 0.6830 0.5090
O: 0.6739 0.0549 0.6830
O: 0.6739 0.1190 0.9910
O: 0.6830 0.5090 0.6280
O: 0.6830 0.6739 0.0549
O: 0.8170 0.4451 0.8261
O: 0.8170 0.8720 0.9910
O: 0.8261 0.5090 0.3810
O: 0.8261 0.8170 0.4451
O: 0.8720 0.3810 0.0549
O: 0.8720 0.9910 0.8170
O: 0.8810 0.0090 0.3261
O: 0.8810 0.3720 0.5549
O: 0.9451 0.1280 0.6190
O: 0.9451 0.3170 0.3261
O: 0.9910 0.6739 0.1190
O: 0.9910 0.8170 0.8720

***

Compound: Al2AuO
Source: Alexandria
Functional: PBE
Structure: relaxed

Results
Space-group type: No. 122
Uncorrected formation energy in eV/atom: -1.032
V in Å³ per atom: 16.0

a = 5.8823 Å, b = 5.8823 Å, c = 5.8823 Å
α = 126.24°, β = 126.24°, γ = 79.49°
Element x y z (fractional)
Al: 0.0424 0.6250 0.9174
Al: 0.3750 0.2924 0.4174
Al: 0.7076 0.1250 0.0826
Al: 0.8750 0.9576 0.5826
Au: 0.2500 0.7500 0.5000
Au: 0.5000 0.5000 0.0000
O: 0.0000 0.0000 0.0000
O: 0.7500 0.2500 0.5000

***

Compound: AlAuO
Source: Alexandria
Functional: PBE
Structure: relaxed

Results
Space-group type: No. 2
Uncorrected formation energy in eV/atom: -1.454
V in Å³ per atom: 17.4

a = 3.0841 Å, b = 5.6212 Å, c = 6.3986 Å
α = 87.48°, β = 76.49°, γ = 75.14°
Element x y z (fractional)
Al: 0.1878 0.4505 0.1763
Al: 0.8122 0.5495 0.8237
Au: 0.1259 0.2132 0.5421
Au: 0.8741 0.7868 0.4579
O: 0.2065 0.6658 0.9299
O: 0.7935 0.3342 0.0701

***

Compound: AlPAuO2
Source: Alexandria
Functional: PBE
Structure: relaxed

Results
Space-group type: No. 123
Uncorrected formation energy in eV/atom: 0.419
V in Å³ per atom: 15.9

a = 3.9711 Å, b = 3.9711 Å, c = 5.0311 Å
α = 90.00°, β = 90.00°, γ = 90.00°
Element x y z (fractional)
Al: 0.0000 0.0000 0.0000
P: 0.5000 0.5000 0.0000
Au: 0.5000 0.5000 0.5000
O: 0.0000 0.5000 0.5000
O: 0.5000 0.0000 0.5000

***

Compound: AlP2AuO
Source: Alexandria
Functional: PBE
Structure: relaxed

Results
Space-group type: No. 123
Uncorrected formation energy in eV/atom: 0.782
V in Å³ per atom: 18.8

a = 4.9048 Å, b = 4.9048 Å, c = 3.9060 Å
α = 90.00°, β = 90.00°, γ = 90.00°
Element x y z (fractional)
Al: 0.0000 0.0000 0.0000
P: 0.0000 0.5000 0.5000
P: 0.5000 0.0000 0.5000
Au: 0.5000 0.5000 0.5000
O: 0.5000 0.5000 0.0000

***

Compound: AlPAuO2
Source: Alexandria
Functional: PBE
Structure: relaxed

Results
Space-group type: No. 123
Uncorrected formation energy in eV/atom: -0.775
V in Å³ per atom: 16.3

a = 3.5440 Å, b = 3.5440 Å, c = 6.4853 Å
α = 90.00°, β = 90.00°, γ = 90.00°
Element x y z (fractional)
Al: 0.0000 0.0000 0.0000
P: 0.0000 0.0000 0.5000
Au: 0.5000 0.5000 0.5000
O: 0.0000 0.5000 0.0000
O: 0.5000 0.0000 0.0000

***

Compound: AlP2AuO
Source: Alexandria
Functional: PBE
Structure: relaxed

Results
Space-group type: No. 123
Uncorrected formation energy in eV/atom: -0.113
V in Å³ per atom: 16.4

a = 4.9673 Å, b = 4.9673 Å, c = 3.3296 Å
α = 90.00°, β = 90.00°, γ = 90.00°
Element x y z (fractional)
Al: 0.0000 0.0000 0.0000
P: 0.0000 0.5000 0.0000
P: 0.5000 0.0000 0.0000
Au: 0.5000 0.5000 0.5000
O: 0.0000 0.0000 0.5000

***

Compound: AlP2AuO8
Source: Alexandria
Functional: PBE
Structure: relaxed

Results
Space-group type: No. 148
Uncorrected formation energy in eV/atom: -1.663
V in Å³ per atom: 11.7

a = 7.7547 Å, b = 7.7547 Å, c = 7.7547 Å
α = 35.47°, β = 35.47°, γ = 35.47°
Element x y z (fractional)
Al: 0.0000 0.0000 0.0000
P: 0.2601 0.2601 0.2601
P: 0.7399 0.7399 0.7399
Au: 0.5000 0.5000 0.5000
O: 0.0067 0.7589 0.3912
O: 0.1874 0.1874 0.1874
O: 0.2411 0.6088 0.9933
O: 0.3912 0.0067 0.7589
O: 0.6088 0.9933 0.2411
O: 0.7589 0.3912 0.0067
O: 0.8126 0.8126 0.8126
O: 0.9933 0.2411 0.6088

***

Compound: AlPb2AuO
Source: Alexandria
Functional: PBE
Structure: relaxed

Results
Space-group type: No. 123
Uncorrected formation energy in eV/atom: 0.572
V in Å³ per atom: 27.9

a = 5.4400 Å, b = 5.4400 Å, c = 4.7100 Å
α = 90.00°, β = 90.00°, γ = 90.00°
Element x y z (fractional)
Al: 0.0000 0.0000 0.0000
Pb: 0.0000 0.5000 0.0000
Pb: 0.5000 0.0000 0.0000
Au: 0.0000 0.0000 0.5000
O: 0.5000 0.5000 0.5000

***

Compound: AlPt2AuO
Source: Alexandria
Functional: PBE
Structure: relaxed

Results
Space-group type: No. 123
Uncorrected formation energy in eV/atom: 1.459
V in Å³ per atom: 23.6

a = 5.0069 Å, b = 5.0069 Å, c = 4.7115 Å
α = 90.00°, β = 90.00°, γ = 90.00°
Element x y z (fractional)
Al: 0.0000 0.0000 0.0000
Pt: 0.0000 0.5000 0.5000
Pt: 0.5000 0.0000 0.5000
Au: 0.0000 0.0000 0.5000
O: 0.5000 0.5000 0.0000

***

Compound: Sc4AlAuO
Source: Alexandria
Functional: PBE
Structure: relaxed

Results
Space-group type: No. 63
Uncorrected formation energy in eV/atom: -1.171
V in Å³ per atom: 19.1

a = 7.7305 Å, b = 7.7305 Å, c = 6.1410 Å
α = 90.00°, β = 90.00°, γ = 133.10°
Element x y z (fractional)
Sc: 0.0000 0.5000 0.0000
Sc: 0.0000 0.5000 0.5000
Sc: 0.0723 0.9277 0.7500
Sc: 0.4157 0.5843 0.7500
Sc: 0.5000 0.0000 0.0000
Sc: 0.5000 0.0000 0.5000
Sc: 0.5843 0.4157 0.2500
Sc: 0.9277 0.0723 0.2500
Al: 0.3836 0.6164 0.2500
Al: 0.6164 0.3836 0.7500
Au: 0.1177 0.8823 0.2500
Au: 0.8823 0.1177 0.7500
O: 0.2518 0.7482 0.7500
O: 0.7482 0.2518 0.2500

***

Compound: AlSi2AuO
Source: Alexandria
Functional: PBE
Structure: relaxed

Results
Space-group type: No. 123
Uncorrected formation energy in eV/atom: 0.759
V in Å³ per atom: 19.7

a = 4.9849 Å, b = 4.9849 Å, c = 3.9614 Å
α = 90.00°, β = 90.00°, γ = 90.00°
Element x y z (fractional)
Al: 0.0000 0.0000 0.0000
Si: 0.0000 0.5000 0.5000
Si: 0.5000 0.0000 0.5000
Au: 0.5000 0.5000 0.5000
O: 0.5000 0.5000 0.0000

***

> Which of these has the highest uncorrected formation energy?

AlPt2AuO